i) Computed, not measured: a relaxed structure of TbYCu2 at the PBE level of DFT.

Cell lengths 3.480, 3.480, 6.970 Å; angles 90.00, 90.00, 90.00 degrees
Sites, in units of the cell vectors:
Y1 0.500 0.500 0.000
Tb1 0.500 0.500 0.500
Cu1 0.000 0.000 0.748
Cu2 0.000 0.000 0.252

Calculated values
volume: 84.4 Å³/f.u.
total moment: 0.0 Bohr magnetons per cell
crystal system: tetragonal
space group: P4/mmm, No. 123

=====

ii) Computed, not measured: a relaxed structure of TbYCu2 at the PBE level of DFT.

Cell lengths 3.769, 4.476, 5.523 Å; angles 90.00, 110.49, 90.00 degrees
Sites, in units of the cell vectors:
Tb1 0.724 0.000 0.985
Cu1 0.011 0.000 0.563
Cu2 0.155 0.500 0.846
Y1 0.441 0.500 0.423

Calculated values
volume: 87.3 Å³/f.u.
total moment: 0.0 Bohr magnetons per cell
crystal system: monoclinic
space group: Pm, No. 6

=====

Short version: ii) is the most stable of them.